First-principles (GGA+U) data for crystalline Na2W2O7 at its relaxed geometry, as listed in Alexandria.

Cell: 3.877 5.533 13.812 Å, 90.00 98.07 90.00°
Fractional coordinates of all 22 atoms:
O (0.306, 0.827, 0.612)
O (0.694, 0.327, 0.388)
O (0.953, 0.605, 0.906)
O (0.047, 0.105, 0.094)
O (0.292, 0.313, 0.585)
O (0.708, 0.813, 0.415)
O (0.854, 0.108, 0.708)
O (0.146, 0.608, 0.292)
O (0.604, 0.888, 0.209)
O (0.396, 0.388, 0.791)
O (0.493, 0.319, 0.985)
O (0.409, 0.889, 0.819)
O (0.591, 0.389, 0.181)
O (0.507, 0.819, 0.015)
Na (0.783, 0.581, 0.566)
Na (0.217, 0.081, 0.434)
Na (0.054, 0.611, 0.108)
Na (0.946, 0.111, 0.892)
W (0.342, 0.097, 0.684)
W (0.658, 0.597, 0.316)
W (0.447, 0.605, 0.895)
W (0.553, 0.105, 0.105)

Uncorrected energy   -6.731 eV/atom
SG   Cmc2_1
Excess energy over the best structure of this formula in the dataset   0.000 eV/atom
Total moment   0.0 μB per formula unit